No. 1
Density functional theory data (GGA-PBE) for a relaxed SbAsOsO crystal.

Cell lengths 3.752, 7.058, 5.861 Å; angles 90.00, 90.00, 90.00 degrees
Sites, in units of the cell vectors:
Sb  0.000  0.039  0.000
Sb  0.000  0.961  0.500
As  0.500  0.233  0.468
As  0.500  0.767  0.968
Os  0.500  0.442  0.122
Os  0.500  0.558  0.622
O  0.000  0.441  0.118
O  0.000  0.559  0.618

Summary:
Uncorrected energy (eV per atom): -6.305
Space group: Pmc2_1 (26)
Spin magnetization (μB/atom): 0.00
ΔE to the lowest computed polymorph (meV per atom): 174

***

No. 2
Density functional theory data (GGA-PBE) for a relaxed Dy2ErMg3Tl2Zn crystal.

Cell lengths 4.540, 7.474, 7.474 Å; angles 119.72, 90.00, 90.00 degrees
Sites, in units of the cell vectors:
Dy  0.000  0.208  0.792
Dy  0.000  0.792  0.208
Er  0.000  0.623  0.623
Mg  0.500  0.208  0.444
Mg  0.500  0.444  0.208
Mg  0.500  0.973  0.973
Tl  0.500  0.542  0.874
Tl  0.500  0.874  0.542
Zn  0.000  0.210  0.210

Summary:
Uncorrected energy (eV per atom): -3.025
Space group: Amm2 (38)
Spin magnetization (μB/atom): 0.00